Material: YHoTe
Method: DFT, PBE
State: optimized geometry

Geometry as POSCAR:
```
YHoTe
1.0
8.223 0.000 0.000
0.000 3.948 0.000
0.000 0.000 10.606
Y Ho Te
4 4 4
Cartesian
0.001 0.987 1.719
8.222 2.961 8.887
4.112 0.987 3.584
4.111 2.961 7.022
1.290 0.987 5.890
2.822 2.961 0.587
5.402 0.987 10.019
6.933 2.961 4.716
1.653 2.961 3.505
2.458 0.987 8.808
5.765 2.961 1.798
6.570 0.987 7.101
```

Computed properties:
The final energy comes out at -67.0 eV/cell. Its symmetry is Pnma. Its offset from the most stable computed form is 0 meV/atom. As for the formation energy without anion corrections: -0.859 eV/atom.

=====

Material: YHo5Te8
Method: DFT, PBE
State: optimized geometry

Geometry as POSCAR:
```
YHo5Te8
1.0
0.000 6.380 6.380
6.380 0.000 6.380
6.380 6.380 0.000
Y Ho Te
1 5 8
Cartesian
0.000 0.000 0.000
4.785 4.785 4.785
7.976 7.976 4.785
7.976 4.785 7.976
9.571 9.571 9.571
4.785 7.976 7.976
1.699 1.699 1.699
4.681 4.681 1.699
4.681 1.699 4.681
7.878 4.883 4.883
1.699 4.681 4.681
4.883 7.878 4.883
4.883 4.883 7.878
7.878 7.878 7.878
```

Computed properties:
The final energy comes out at -71.5 eV/cell. Its symmetry is F-43m. As for the formation energy without anion corrections: -1.218 eV/atom.